1.
VASP calculation (GGA-PBE) on a relaxed CdHgBi2Pd crystal.

Output
Its energy of formation from the pure elements is -0.027 eV/atom. As for the crystal system: tetragonal.

abc: 4.1360 4.1360 14.9126
angles: 90.00 90.00 90.00
Sites, in units of the cell vectors:
Cd1 0.0000 0.5000 0.3413
Cd2 0.5000 0.0000 0.6587
Pd1 0.5000 0.0000 0.0659
Pd2 0.0000 0.5000 0.9341
Bi1 0.0000 0.5000 0.1184
Bi2 0.5000 0.0000 0.2556
Bi3 0.5000 0.0000 0.8816
Bi4 0.0000 0.5000 0.7444
Hg1 0.5000 0.5000 0.5000
Hg2 0.0000 0.0000 0.5000

2.
VASP calculation (GGA-PBE) on a relaxed Ba2TcW crystal.

Output
Its energy of formation from the pure elements is 1.730 eV/atom. The value obtained for the energy above the most stable polymorph in this dataset is 1221 meV/atom. As for the crystal system: trigonal.

abc: 11.4508 11.4508 11.4508
angles: 16.17 16.17 16.17
Each line ends with the local moment (μB).
Sites, in units of the cell vectors:
Ba1 0.5031 0.5031 0.5031  -0.02
Ba2 0.9969 0.9969 0.9969  -0.02
W1 0.7500 0.7500 0.7500  0.11
Tc1 0.2500 0.2500 0.2500  1.36

3.
VASP calculation (GGA-PBE) on a relaxed Na2SrAs2Au crystal.

Output
Its energy of formation from the pure elements is -0.361 eV/atom. As for the crystal system: tetragonal.

abc: 5.7376 5.7376 6.8126
angles: 114.90 114.90 90.00
Sites, in units of the cell vectors:
Au1 0.0000 0.0000 0.0000
Na1 0.2500 0.7500 0.5000
Na2 0.7500 0.2500 0.5000
As1 0.7801 0.7801 0.5602
As2 0.2199 0.2199 0.4398
Sr1 0.5000 0.5000 0.0000

4.
VASP calculation (GGA-PBE) on a relaxed HgS4I crystal.

Output
The uncorrected formation energy is -0.03 eV per atom. As for the crystal system: triclinic.

abc: 4.7428 26.5702 13.6330
angles: 23.08 45.85 45.08
Sites, in units of the cell vectors:
S1 0.2010 0.7026 0.1421
S2 0.2141 0.5488 0.3266
S3 0.7057 0.8618 0.9340
S4 0.8232 0.9288 0.6537
S5 0.7859 0.4512 0.6734
S6 0.7990 0.2974 0.8579
S7 0.1768 0.0712 0.3463
S8 0.2943 0.1382 0.0660
I1 0.0289 0.2792 0.4160
I2 0.9711 0.7208 0.5840
Hg1 0.6149 0.8978 0.2151
Hg2 0.3851 0.1022 0.7849

5.
VASP calculation (GGA-PBE) on a relaxed Er4TmOs2 crystal.

Output
Its energy of formation from the pure elements is -0.213 eV/atom. As for the crystal system: monoclinic.

abc: 6.1946 7.8440 7.7507
angles: 112.12 90.00 90.00
Sites, in units of the cell vectors:
Os1 0.2500 0.6233 0.5857
Os2 0.2500 0.2528 0.9746
Os3 0.7500 0.3767 0.4143
Os4 0.7500 0.7472 0.0254
Er1 0.2500 0.2494 0.3269
Er2 0.5015 0.4192 0.7614
Er3 0.0015 0.5808 0.2386
Er4 0.4985 0.5808 0.2386
Er5 0.7500 0.0200 0.3797
Er6 0.7500 0.7506 0.6731
Er7 0.2500 0.9800 0.6203
Er8 0.9985 0.4192 0.7614
Tm1 0.2500 0.8406 0.9718
Tm2 0.7500 0.1594 0.0282

6.
VASP calculation (GGA-PBE) on a relaxed ScAlCd2Br crystal.

Output
The uncorrected formation energy is 0.53 eV per atom. As for the crystal system: tetragonal.

abc: 5.7446 5.6753 5.7446
angles: 90.00 90.00 90.00
Each line ends with the local moment (μB).
Sites, in units of the cell vectors:
Al1 0.0000 0.5000 0.0000  0.05
Br1 0.5000 0.5000 0.5000  0.01
Cd1 0.5000 0.0000 0.0000  0.01
Cd2 0.0000 0.0000 0.5000  0.00
Sc1 0.0000 0.0000 0.0000  0.34

7.
VASP calculation (GGA-PBE) on a relaxed AcSm2Ho crystal.

Output
Its energy of formation from the pure elements is 0.053 eV/atom. The value obtained for the energy above the most stable polymorph in this dataset is 10 meV/atom. As for the crystal system: trigonal.

abc: 3.7132 3.7132 12.1670
angles: 81.22 81.22 60.00
Sites, in units of the cell vectors:
Sm1 0.0793 0.0793 0.7622
Sm2 0.2541 0.2541 0.2376
Ho1 0.6665 0.6665 0.0006
Ac1 0.5001 0.5001 0.4996

8.
VASP calculation (GGA-PBE) on a relaxed Sr2TiSn2 crystal.

Output
Its energy of formation from the pure elements is 0.290 eV/atom. The value obtained for the energy above the most stable polymorph in this dataset is 602 meV/atom. As for the crystal system: tetragonal.

abc: 4.2320 4.2320 10.3597
angles: 78.21 78.21 90.00
Each line ends with the local moment (μB).
Sites, in units of the cell vectors:
Sn1 0.7500 0.2500 0.5000  -0.01
Sn2 0.2500 0.7500 0.5000  -0.01
Sr1 0.6051 0.6051 0.7897  0.09
Sr2 0.3949 0.3949 0.2103  0.09
Ti1 0.0000 0.0000 0.0000  2.00

9.
VASP calculation (GGA-PBE) on a relaxed AlSiRu crystal.

Output
The uncorrected formation energy is -0.34 eV per atom. As for the crystal system: trigonal.

abc: 2.9016 2.9016 5.9445
angles: 90.00 90.00 120.00
Sites, in units of the cell vectors:
Ru1 0.6667 0.3333 0.3456
Al1 0.0000 0.0000 0.0125
Si1 0.3333 0.6667 0.6419

10.
VASP calculation (GGA-PBE) on a relaxed Dy3Y6HoTm2 crystal.

Output
Its energy of formation from the pure elements is 0.024 eV/atom. As for the crystal system: monoclinic.

abc: 6.1382 6.1382 11.7594
angles: 94.98 94.98 119.93
Sites, in units of the cell vectors:
Y1 0.9169 0.5834 0.7511
Y2 0.2505 0.2505 0.7511
Y3 0.4166 0.0831 0.2489
Y4 0.0831 0.4166 0.2489
Y5 0.5834 0.9169 0.7511
Y6 0.7495 0.7495 0.2489
Tm1 0.3333 0.6667 0.0000
Tm2 0.6667 0.3333 0.0000
Ho1 0.0000 0.0000 0.0000
Dy1 0.1668 0.8332 0.5000
Dy2 0.8332 0.1668 0.5000
Dy3 0.5000 0.5000 0.5000

11.
VASP calculation (GGA-PBE) on a relaxed TiSeCl crystal.

Output
The uncorrected formation energy is -1.30 eV per atom. As for the crystal system: trigonal.

abc: 3.4665 3.4665 6.8500
angles: 90.00 90.00 120.00
Sites, in units of the cell vectors:
Cl1 0.0000 0.0000 0.1072
Ti1 0.6667 0.3333 0.3335
Se1 0.3333 0.6667 0.5593

12.
VASP calculation (GGA-PBE) on a relaxed AcPmTeCl crystal.

Output
The uncorrected formation energy is -1.27 eV per atom. As for the crystal system: cubic.

abc: 5.4510 5.4510 5.4510
angles: 60.00 60.00 60.00
Sites, in units of the cell vectors:
Te1 0.5000 0.5000 0.5000
Ac1 0.7500 0.7500 0.7500
Pm1 0.2500 0.2500 0.2500
Cl1 0.0000 0.0000 0.0000

13.
VASP calculation (GGA-PBE) on a relaxed Li6GeF12 crystal.

Output
The uncorrected formation energy is -2.46 eV per atom. As for the crystal system: trigonal.

abc: 5.9361 5.9361 5.9361
angles: 98.82 98.82 98.82
Each line ends with the local moment (μB).
Sites, in units of the cell vectors:
F1 0.0885 0.2999 0.9670  0.01
F2 0.9670 0.0885 0.2999  0.01
F3 0.2999 0.9670 0.0885  0.01
F4 0.8233 0.4154 0.5673  0.30
F5 0.0330 0.9115 0.7001  0.01
F6 0.4327 0.1767 0.5846  0.30
F7 0.5673 0.8233 0.4154  0.30
F8 0.7001 0.0330 0.9115  0.01
F9 0.4154 0.5673 0.8233  0.30
F10 0.1767 0.5846 0.4327  0.30
F11 0.9115 0.7001 0.0330  0.01
F12 0.5846 0.4327 0.1767  0.30
Li1 0.3179 0.5979 0.1474  0.00
Li2 0.5979 0.1474 0.3179  0.00
Li3 0.1474 0.3179 0.5979  0.00
Li4 0.6821 0.4021 0.8526  0.00
Li5 0.8526 0.6821 0.4021  0.00
Li6 0.4021 0.8526 0.6821  0.00
Ge1 0.0000 0.0000 0.0000  0.00

14.
VASP calculation (GGA-PBE) on a relaxed CaTmAgRu crystal.

Output
Its energy of formation from the pure elements is -0.161 eV/atom. As for the crystal system: cubic.

abc: 4.9332 4.9332 4.9332
angles: 60.00 60.00 60.00
Sites, in units of the cell vectors:
Ru1 0.2500 0.2500 0.2500
Tm1 0.5000 0.5000 0.5000
Ag1 0.7500 0.7500 0.7500
Ca1 0.0000 0.0000 0.0000

15.
VASP calculation (GGA-PBE) on a relaxed ZrBiF3 crystal.

Output
The uncorrected formation energy is -0.95 eV per atom. The value obtained for the energy above the most stable polymorph in this dataset is 1042 meV/atom. As for the crystal system: cubic.

abc: 4.7081 4.7081 4.7081
angles: 90.00 90.00 90.00
Each line ends with the local moment (μB).
Sites, in units of the cell vectors:
Bi1 0.0000 0.0000 0.0000  0.04
Zr1 0.5000 0.5000 0.5000  1.64
F1 0.5000 0.0000 0.0000  0.02
F2 0.0000 0.0000 0.5000  0.06
F3 0.0000 0.5000 0.0000  0.05

16.
VASP calculation (GGA-PBE) on a relaxed YZnCd crystal.

Output
Its energy of formation from the pure elements is -0.347 eV/atom. As for the crystal system: orthorhombic.

abc: 3.5263 4.6944 8.2119
angles: 90.00 90.00 90.00
Sites, in units of the cell vectors:
Cd1 0.8114 0.2161 0.3045
Cd2 0.8115 0.7161 0.4883
Y1 0.3115 0.2161 0.6678
Y2 0.3115 0.7161 0.1251
Zn1 0.8119 0.2164 0.9728
Zn2 0.8119 0.7163 0.8202

17.
VASP calculation (GGA-PBE) on a relaxed Sm8C3NCl4 crystal.

Output
The uncorrected formation energy is -1.19 eV per atom. As for the crystal system: trigonal.

abc: 7.4083 8.2108 7.4081
angles: 116.85 120.00 90.00
Sites, in units of the cell vectors:
Cl1 0.0000 0.0000 0.0000
Cl2 0.5000 0.0000 0.5000
Cl3 0.0000 0.0000 0.5000
Cl4 0.5000 0.0000 0.0000
Sm1 0.7315 0.6890 0.9604
Sm2 0.7711 0.3110 0.0396
Sm3 0.7711 0.3109 0.5422
Sm4 0.2685 0.3110 0.0396
Sm5 0.2289 0.6890 0.9604
Sm6 0.7305 0.6914 0.4611
Sm7 0.2695 0.3086 0.5389
Sm8 0.2289 0.6891 0.4578
N1 0.0000 0.5000 0.0000
C1 0.5000 0.5000 0.5000
C2 0.5000 0.5000 0.0000
C3 0.0000 0.5000 0.5000

18.
VASP calculation (GGA-PBE) on a relaxed CuSnPdPt crystal.

Output
Its energy of formation from the pure elements is -0.384 eV/atom. As for the crystal system: tetragonal.

abc: 4.1349 4.1348 4.7354
angles: 115.88 115.89 90.00
Sites, in units of the cell vectors:
Cu1 0.0000 0.0000 0.0000
Pt1 0.7500 0.2500 0.5000
Pd1 0.2500 0.7500 0.5000
Sn1 0.5000 0.5000 0.0000

19.
VASP calculation (GGA-PBE) on a relaxed ZnCoAs2 crystal.

Output
Its energy of formation from the pure elements is 0.028 eV/atom. As for the crystal system: orthorhombic.

abc: 4.5206 4.3355 4.3363
angles: 55.66 90.00 90.00
Sites, in units of the cell vectors:
Co1 0.0000 0.5353 0.5353
Zn1 0.5000 0.7012 0.7013
As1 0.5000 0.3903 0.3901
As2 0.0000 0.8733 0.8733

20.
VASP calculation (GGA-PBE) on a relaxed Sn2BiSb crystal.

Output
The uncorrected formation energy is 0.12 eV per atom. The value obtained for the energy above the most stable polymorph in this dataset is 75 meV/atom. As for the crystal system: cubic.

abc: 5.4304 5.4304 5.4304
angles: 60.00 60.00 60.00
Sites, in units of the cell vectors:
Sn1 0.7500 0.7500 0.7500
Sn2 0.2500 0.2500 0.2500
Bi1 0.5000 0.5000 0.5000
Sb1 0.0000 0.0000 0.0000

21.
VASP calculation (GGA-PBE) on a relaxed Pr6PuN8 crystal.

Output
The uncorrected formation energy is -1.00 eV per atom. As for the crystal system: trigonal.

abc: 6.6450 6.6450 6.6450
angles: 69.88 69.88 69.88
Each line ends with the local moment (μB).
Sites, in units of the cell vectors:
Pr1 0.4937 0.7096 0.0516  0.01
Pr2 0.0516 0.4937 0.7096  0.01
Pr3 0.2904 0.9484 0.5063  0.01
Pr4 0.9484 0.5063 0.2904  0.01
Pr5 0.7096 0.0516 0.4937  0.01
Pr6 0.5063 0.2904 0.9484  0.01
N1 0.9064 0.1605 0.6814  -0.09
N2 0.6814 0.9064 0.1605  -0.09
N3 0.0936 0.8395 0.3186  -0.09
N4 0.3186 0.0936 0.8395  -0.09
N5 0.1605 0.6814 0.9064  -0.09
N6 0.6747 0.6747 0.6747  -0.03
N7 0.8395 0.3186 0.0936  -0.09
N8 0.3253 0.3253 0.3253  -0.03
Pu1 0.0000 0.0000 0.0000  2.70

22.
VASP calculation (GGA-PBE) on a relaxed ZrCuTcSn crystal.

Output
Its energy of formation from the pure elements is -0.116 eV/atom. As for the crystal system: cubic.

abc: 4.6161 4.6161 4.6161
angles: 60.00 60.00 60.00
Sites, in units of the cell vectors:
Zr1 0.7500 0.7500 0.7500
Tc1 0.0000 0.0000 0.0000
Cu1 0.5000 0.5000 0.5000
Sn1 0.2500 0.2500 0.2500

23.
VASP calculation (GGA-PBE) on a relaxed Li3NdU2S6 crystal.

Output
The uncorrected formation energy is -1.49 eV per atom. As for the crystal system: monoclinic.

abc: 6.8140 6.8140 6.6469
angles: 99.87 99.87 120.01
Each line ends with the local moment (μB).
Sites, in units of the cell vectors:
Li1 0.1669 0.8331 0.5000  0.00
Li2 0.8331 0.1669 0.5000  0.00
Li3 0.5000 0.5000 0.5000  0.00
U1 0.3338 0.6662 0.0000  2.54
U2 0.6662 0.3338 0.0000  2.54
S1 0.2572 0.2572 0.7402  -0.04
S2 0.0853 0.4298 0.2560  -0.04
S3 0.7428 0.7428 0.2598  -0.04
S4 0.9147 0.5702 0.7440  -0.04
S5 0.4298 0.0853 0.2560  -0.04
S6 0.5702 0.9147 0.7440  -0.04
Nd1 0.0000 0.0000 0.0000  0.19

24.
VASP calculation (GGA-PBE) on a relaxed Zr4ZnHg crystal.

Output
Its energy of formation from the pure elements is 0.318 eV/atom. The value obtained for the energy above the most stable polymorph in this dataset is 63 meV/atom. As for the crystal system: cubic.

abc: 5.7360 5.7360 5.7360
angles: 60.00 60.00 60.00
Sites, in units of the cell vectors:
Zn1 0.0000 0.0000 0.0000
Zr1 0.3746 0.3746 0.8762
Zr2 0.3746 0.8762 0.3746
Zr3 0.8762 0.3746 0.3746
Zr4 0.3746 0.3746 0.3746
Hg1 0.7500 0.7500 0.7500

25.
VASP calculation (GGA-PBE) on a relaxed AlB2H crystal.

Output
The value obtained for the energy above the most stable polymorph in this dataset is 759 meV/atom. As for the crystal system: cubic.

abc: 3.6250 3.6250 3.6250
angles: 60.00 60.00 60.00
Sites, in units of the cell vectors:
B1 0.2500 0.2500 0.2500
B2 0.7500 0.7500 0.7500
H1 0.0000 0.0000 0.0000
Al1 0.5000 0.5000 0.5000

| no. | D(E_F) (states/eV/atom) |
| --- | --- |
| 1 | 0.39 |
| 2 | 1.32 |
| 3 | 0.35 |
| 4 | 0.00 |
| 5 | 0.87 |
| 6 | 0.94 |
| 7 | 1.37 |
| 8 | 1.70 |
| 9 | 0.52 |
| 10 | 1.47 |
| 11 | 0.79 |
| 12 | 0.98 |
| 13 | 0.38 |
| 14 | 0.42 |
| 15 | 1.63 |
| 16 | 0.77 |
| 17 | 0.23 |
| 18 | 0.38 |
| 19 | 0.75 |
| 20 | 0.62 |
| 21 | 0.49 |
| 22 | 0.70 |
| 23 | 0.70 |
| 24 | 0.90 |
| 25 | 0.13 |